Density functional theory data (GGA-PBE) for crystalline GaHgB2F at its relaxed geometry.

## Properties
Symmetry: P4/mmm (123)
Crystal system: tetragonal
Formation energy (no corrections) in eV per atom: 0.967

abc: 4.1694 4.1694 5.3896
angles: 90.00 90.00 90.00
Closest atoms and distances in Å follow each position.
Sites, in units of the cell vectors:
Ga 0.0000 0.0000 0.0000  4 F 2.95
Hg 0.5000 0.5000 0.5000  4 B 2.08
B 0.0000 0.5000 0.5000  2 Hg 2.08
B 0.5000 0.0000 0.5000  2 Hg 2.08
F 0.5000 0.5000 0.0000  2 Hg 2.69, 4 Ga 2.95

---

Density functional theory data (GGA-PBE) for crystalline PHPdN at its relaxed geometry.

## Properties
Symmetry: P1 (1)
Crystal system: triclinic
Offset from the most stable computed form in meV per atom: 112.7

abc: 3.4205 4.2295 4.2836
angles: 103.48 97.13 113.25
Closest atoms and distances in Å follow each position.
Sites, in units of the cell vectors:
P 0.0000 0.0000 0.0000  1 N 1.67
H 0.4251 0.5860 0.6014  1 N 1.03
Pd 0.7267 0.4265 0.1102  2 N 2.29-2.31, 3 P 2.32-2.42, 1 H 2.52
N 0.7515 0.6385 0.6633  1 H 1.03

---

Density functional theory data (GGA-PBE) for crystalline Re2PdRh2 at its relaxed geometry.

## Properties
Symmetry: P4/mbm (127)
Crystal system: tetragonal
Offset from the most stable computed form in meV per atom: 21.0
Energy of formation from the pure elements in eV/atom: 0.18

abc: 7.5364 7.5364 2.7117
angles: 90.00 90.00 90.00
Closest atoms and distances in Å follow each position.
Sites, in units of the cell vectors:
Re 0.1708 0.3292 0.0000  6 Rh 2.57-2.63, 2 Re 2.71
Re 0.3292 0.8292 0.0000  6 Rh 2.57-2.63, 2 Re 2.71
Re 0.6708 0.1708 0.0000  6 Rh 2.57-2.63, 2 Re 2.71
Re 0.8292 0.6708 0.0000  6 Rh 2.57-2.63, 2 Re 2.71
Pd 0.0000 0.0000 0.5000  2 Pd 2.71, 4 Rh 2.98
Pd 0.5000 0.5000 0.5000  2 Pd 2.71, 4 Rh 2.98
Rh 0.1247 0.6247 0.5000  6 Re 2.57-2.63, 3 Rh 2.66-2.71
Rh 0.3753 0.1247 0.5000  6 Re 2.57-2.63, 3 Rh 2.66-2.71
Rh 0.6247 0.8753 0.5000  6 Re 2.57-2.63, 3 Rh 2.66-2.71
Rh 0.8753 0.3753 0.5000  6 Re 2.57-2.63, 3 Rh 2.66-2.71

---

Density functional theory data (GGA-PBE) for crystalline Be2ReMo at its relaxed geometry.

## Properties
Symmetry: Pmmm (47)
Crystal system: orthorhombic
Offset from the most stable computed form in meV per atom: 346.7
Energy of formation from the pure elements in eV/atom: 0.11

abc: 3.2306 3.7434 4.0823
angles: 90.00 90.00 90.00
Closest atoms and distances in Å follow each position.
Sites, in units of the cell vectors:
Be 0.0000 0.0000 0.0000  4 Mo 2.47, 4 Be 2.60
Be 0.5000 0.0000 0.5000  4 Re 2.47, 4 Be 2.60
Re 0.0000 0.5000 0.5000  4 Be 2.47, 4 Mo 2.60
Mo 0.5000 0.5000 0.0000  4 Be 2.47, 4 Re 2.60

---

Density functional theory data (GGA-PBE) for crystalline PmCoSbPd at its relaxed geometry.

## Properties
Symmetry: F-43m (216)
Crystal system: cubic
Formation energy (no corrections) in eV per atom: -0.417

abc: 6.7554 6.7554 6.7554
angles: 90.00 90.00 90.00
Closest atoms and distances in Å follow each position.
Sites, in units of the cell vectors:
Pm 0.0000 0.0000 0.0000  4 Co 2.93, 4 Pd 2.93
Pm 0.0000 0.5000 0.5000  4 Co 2.93, 4 Pd 2.93
Pm 0.5000 0.0000 0.5000  4 Co 2.93, 4 Pd 2.93
Pm 0.5000 0.5000 0.0000  4 Co 2.93, 4 Pd 2.93
Co 0.2500 0.2500 0.2500  4 Sb 2.93, 4 Pm 2.93
Co 0.2500 0.7500 0.7500  4 Sb 2.93, 4 Pm 2.93
Co 0.7500 0.2500 0.7500  4 Sb 2.93, 4 Pm 2.93
Co 0.7500 0.7500 0.2500  4 Sb 2.93, 4 Pm 2.93
Sb 0.0000 0.0000 0.5000  4 Co 2.93, 4 Pd 2.93
Sb 0.0000 0.5000 0.0000  4 Co 2.93, 4 Pd 2.93
Sb 0.5000 0.0000 0.0000  4 Co 2.93, 4 Pd 2.93
Sb 0.5000 0.5000 0.5000  4 Co 2.93, 4 Pd 2.93
Pd 0.2500 0.2500 0.7500  4 Sb 2.93, 4 Pm 2.93
Pd 0.2500 0.7500 0.2500  4 Sb 2.93, 4 Pm 2.93
Pd 0.7500 0.2500 0.2500  4 Sb 2.93, 4 Pm 2.93
Pd 0.7500 0.7500 0.7500  4 Sb 2.93, 4 Pm 2.93

---

Density functional theory data (GGA-PBE) for crystalline SbOs3 at its relaxed geometry.

## Properties
Symmetry: Pm-3n (223)
Crystal system: cubic
Formation energy (no corrections) in eV per atom: 1.168

abc: 5.0713 5.0713 5.0713
angles: 90.00 90.00 90.00
Closest atoms and distances in Å follow each position.
Sites, in units of the cell vectors:
Sb 0.0000 0.0000 0.0000  12 Os 2.83
Sb 0.5000 0.5000 0.5000  12 Os 2.83
Os 0.0000 0.2500 0.5000  2 Os 2.54, 4 Sb 2.83
Os 0.0000 0.7500 0.5000  2 Os 2.54, 4 Sb 2.83
Os 0.2500 0.5000 0.0000  2 Os 2.54, 4 Sb 2.83
Os 0.5000 0.0000 0.2500  2 Os 2.54, 4 Sb 2.83
Os 0.5000 0.0000 0.7500  2 Os 2.54, 4 Sb 2.83
Os 0.7500 0.5000 0.0000  2 Os 2.54, 4 Sb 2.83

---

Density functional theory data (GGA-PBE) for crystalline Ac4CdRe3N12 at its relaxed geometry.

## Properties
Symmetry: Im-3m (229)
Crystal system: cubic
Formation energy (no corrections) in eV per atom: -0.394

abc: 7.0912 7.0912 7.0912
angles: 109.47 109.47 109.47
Closest atoms and distances in Å follow each position.
Sites, in units of the cell vectors:
Ac 0.0000 0.0000 0.5000  12 N 2.89-2.90
Ac 0.0000 0.5000 0.0000  12 N 2.89-2.90
Ac 0.5000 0.0000 0.0000  12 N 2.89-2.90
Ac 0.5000 0.5000 0.5000  12 N 2.89-2.90
Cd 0.0000 0.0000 0.0000  6 N 2.20
Re 0.0000 0.5000 0.5000  6 N 1.89-2.05
Re 0.5000 0.0000 0.5000  6 N 1.89-2.05
Re 0.5000 0.5000 0.0000  6 N 1.89-2.05
N 0.0000 0.2690 0.2690  1 Re 1.89
N 0.0000 0.7310 0.7310  1 Re 1.89
N 0.2500 0.5000 0.7500  2 Re 2.05
N 0.2500 0.7500 0.5000  2 Re 2.05
N 0.2690 0.0000 0.2690  1 Re 1.89
N 0.2690 0.2690 0.0000  1 Re 1.89
N 0.5000 0.2500 0.7500  2 Re 2.05
N 0.5000 0.7500 0.2500  2 Re 2.05
N 0.7310 0.0000 0.7310  1 Re 1.89
N 0.7310 0.7310 0.0000  1 Re 1.89
N 0.7500 0.2500 0.5000  2 Re 2.05
N 0.7500 0.5000 0.2500  2 Re 2.05

---

Density functional theory data (GGA-PBE) for crystalline UVCrTc at its relaxed geometry.

## Properties
Symmetry: F-43m (216)
Crystal system: cubic
Energy of formation from the pure elements in eV/atom: 0.13

abc: 6.2903 6.2903 6.2903
angles: 90.00 90.00 90.00
Closest atoms and distances in Å follow each position.
Sites, in units of the cell vectors:
U 0.0000 0.0000 0.0000  4 Cr 2.72, 4 Tc 2.72
U 0.0000 0.5000 0.5000  4 Cr 2.72, 4 Tc 2.72
U 0.5000 0.0000 0.5000  4 Cr 2.72, 4 Tc 2.72
U 0.5000 0.5000 0.0000  4 Cr 2.72, 4 Tc 2.72
V 0.0000 0.0000 0.5000  4 Tc 2.72, 4 Cr 2.72
V 0.0000 0.5000 0.0000  4 Tc 2.72, 4 Cr 2.72
V 0.5000 0.0000 0.0000  4 Tc 2.72, 4 Cr 2.72
V 0.5000 0.5000 0.5000  4 Tc 2.72, 4 Cr 2.72
Cr 0.2500 0.2500 0.2500  4 U 2.72, 4 V 2.72
Cr 0.2500 0.7500 0.7500  4 U 2.72, 4 V 2.72
Cr 0.7500 0.2500 0.7500  4 U 2.72, 4 V 2.72
Cr 0.7500 0.7500 0.2500  4 U 2.72, 4 V 2.72
Tc 0.2500 0.2500 0.7500  4 U 2.72, 4 V 2.72
Tc 0.2500 0.7500 0.2500  4 U 2.72, 4 V 2.72
Tc 0.7500 0.2500 0.2500  4 U 2.72, 4 V 2.72
Tc 0.7500 0.7500 0.7500  4 U 2.72, 4 V 2.72

---

Density functional theory data (GGA-PBE) for crystalline CeMg12 at its relaxed geometry.

## Properties
Symmetry: I4/mmm (139)
Crystal system: tetragonal
Energy of formation from the pure elements in eV/atom: -0.01

abc: 7.8306 7.8306 7.8306
angles: 98.35 98.35 135.21
Closest atoms and distances in Å follow each position.
Sites, in units of the cell vectors:
Ce 0.0000 0.0000 0.0000  20 Mg 3.59-3.92
Mg 0.0000 0.0000 0.5000  10 Mg 2.98-3.14
Mg 0.0000 0.3505 0.3505  9 Mg 3.06-3.32
Mg 0.0000 0.5000 0.0000  10 Mg 2.98-3.14
Mg 0.0000 0.6495 0.6495  9 Mg 3.06-3.32
Mg 0.2873 0.5000 0.7873  10 Mg 2.99-3.32
Mg 0.3505 0.0000 0.3505  9 Mg 3.06-3.32
Mg 0.5000 0.0000 0.0000  10 Mg 2.98-3.14
Mg 0.5000 0.2873 0.7873  10 Mg 2.99-3.32
Mg 0.5000 0.5000 0.5000  10 Mg 2.98-3.14
Mg 0.5000 0.7127 0.2127  10 Mg 2.99-3.32
Mg 0.6495 0.0000 0.6495  9 Mg 3.06-3.32
Mg 0.7127 0.5000 0.2127  10 Mg 2.99-3.32

---

Density functional theory data (GGA-PBE) for crystalline Be2Fe5CoTc2 at its relaxed geometry.

## Properties
Symmetry: P4/mbm (127)
Crystal system: tetragonal
Energy of formation from the pure elements in eV/atom: 0.07

abc: 8.3792 8.3792 3.1677
angles: 90.00 90.00 90.00
Closest atoms and distances in Å follow each position.
Sites, in units of the cell vectors:
Be 0.1207 0.3793 0.0000  6 Fe 2.13-2.19
Be 0.3793 0.8793 0.0000  6 Fe 2.13-2.19
Be 0.6207 0.1207 0.0000  6 Fe 2.13-2.19
Be 0.8793 0.6207 0.0000  6 Fe 2.13-2.19
Fe 0.0000 0.5000 0.5000  4 Be 2.13
Fe 0.0630 0.2087 0.5000  2 Be 2.19, 2 Co 2.42
Fe 0.2087 0.9370 0.5000  2 Be 2.19, 2 Co 2.42
Fe 0.2913 0.4370 0.5000  2 Be 2.19, 2 Co 2.42
Fe 0.4370 0.7087 0.5000  2 Be 2.19, 2 Co 2.42
Fe 0.5000 0.0000 0.5000  4 Be 2.13
Fe 0.5630 0.2913 0.5000  2 Be 2.19, 2 Co 2.42
Fe 0.7087 0.5630 0.5000  2 Be 2.19, 2 Co 2.42
Fe 0.7913 0.0630 0.5000  2 Be 2.19, 2 Co 2.42
Fe 0.9370 0.7913 0.5000  2 Be 2.19, 2 Co 2.42
Co 0.0000 0.0000 0.0000  8 Fe 2.42
Co 0.5000 0.5000 0.0000  8 Fe 2.42
Tc 0.1765 0.6765 0.0000  3 Be 2.40-2.53, 2 Fe 2.62
Tc 0.3235 0.1765 0.0000  3 Be 2.40-2.53, 2 Fe 2.62
Tc 0.6765 0.8235 0.0000  3 Be 2.40-2.53, 2 Fe 2.62
Tc 0.8235 0.3235 0.0000  3 Be 2.40-2.53, 2 Fe 2.62

---

Number 1: energy -13.7 eV for the cell shown. Number 2: energy -22.2 eV for the cell shown. Number 3: energy -87.8 eV for the cell shown. Number 4: energy -30.3 eV for the cell shown. Number 5: energy -91.4 eV for the cell shown. Number 6: energy -66.3 eV for the cell shown. Number 7: energy -162.5 eV for the cell shown. Number 8: energy -159.5 eV for the cell shown. Number 9: energy -25.1 eV for the cell shown. Number 10: energy -153.9 eV for the cell shown.